Entry 1:
The following is a PBE calculation of a geometry-optimized LiNdAlOs structure, from Alexandria.

Properties
- SG: F-43m
- Formation energy from the elements: -72 meV/atom

a b c (Å): 4.7088 4.7088 4.7088
angles (deg): 60.00 60.00 60.00
Atoms (fractional coordinates):
Li  0.0000  0.0000  0.0000
Nd  0.2500  0.2500  0.2500
Al  0.7500  0.7500  0.7500
Os  0.5000  0.5000  0.5000

=====

Entry 2:
The following is a PBE calculation of a geometry-optimized GdPaZnSn structure, from Alexandria.

Properties
- SG: F-43m
- Formation energy from the elements: -163 meV/atom

a b c (Å): 5.2201 5.2201 5.2201
angles (deg): 60.00 60.00 60.00
Atoms (fractional coordinates):
Gd  0.0000  0.0000  0.0000
Pa  0.5000  0.5000  0.5000
Zn  0.2500  0.2500  0.2500
Sn  0.7500  0.7500  0.7500

=====

Entry 3:
The following is a PBE calculation of a geometry-optimized PaInO2 structure, from Alexandria.

Properties
- SG: R-3m
- ΔE_f (raw): -2.297 eV/atom

a b c (Å): 7.7544 7.7544 7.7544
angles (deg): 27.32 27.32 27.32
Atoms (fractional coordinates):
Pa  0.0000  0.0000  0.0000
In  0.5000  0.5000  0.5000
O  0.3723  0.3723  0.3723
O  0.6277  0.6277  0.6277

=====

Entry 4:
The following is a PBE calculation of a geometry-optimized PmUSe4 structure, from Alexandria.

Properties
- SG: C2/m
- ΔE_f (raw): -1.365 eV/atom

a b c (Å): 7.1926 7.1926 7.2595
angles (deg): 98.64 98.64 34.08
Atoms (fractional coordinates):
Pm  0.0000  0.0000  0.0000
U  0.5000  0.5000  0.5000
Se  0.1103  0.1103  0.3852
Se  0.3881  0.3881  0.1551
Se  0.6119  0.6119  0.8449
Se  0.8897  0.8897  0.6148

=====

Entry 5:
The following is a PBE calculation of a geometry-optimized RhSCl2 structure, from Alexandria.

Properties
- SG: I-42d
- ΔE_f (raw): 0.038 eV/atom

a b c (Å): 7.2974 7.2974 7.2974
angles (deg): 95.17 95.17 145.08
Atoms (fractional coordinates):
Rh  0.0000  0.0000  0.0000
Rh  0.7500  0.2500  0.5000
S  0.2500  0.7500  0.5000
S  0.5000  0.5000  0.0000
Cl  0.3750  0.1228  0.2478
Cl  0.8728  0.6250  0.7478
Cl  0.8750  0.1272  0.7522
Cl  0.8772  0.1250  0.2522

=====

Entry 6:
The following is a PBE calculation of a geometry-optimized PuZrAl2 structure, from Alexandria.

Properties
- SG: P4/mmm
- Formation energy from the elements: -176 meV/atom

a b c (Å): 4.3847 4.3847 4.3254
angles (deg): 90.00 90.00 90.00
Atoms (fractional coordinates):
Pu  0.0000  0.0000  0.0000
Zr  0.5000  0.5000  0.0000
Al  0.0000  0.5000  0.5000
Al  0.5000  0.0000  0.5000

=====

Entry 7:
The following is a PBE calculation of a geometry-optimized CdSi2Tc structure, from Alexandria.

Properties
- SG: R3m
- ΔE_f (raw): 0.261 eV/atom

a b c (Å): 8.4014 8.4014 8.4014
angles (deg): 20.79 20.79 20.79
Atoms (fractional coordinates):
Cd  0.0000  0.0000  0.0000
Si  0.5021  0.5021  0.5021
Si  0.7621  0.7621  0.7621
Tc  0.2379  0.2379  0.2379

=====

Entry 8:
The following is a PBE calculation of a geometry-optimized BC2 structure, from Alexandria.

Properties
- SG: Pmma
- Formation energy from the elements: 282 meV/atom

a b c (Å): 2.5198 2.4731 12.2809
angles (deg): 90.00 90.00 90.00
Atoms (fractional coordinates):
B  0.2500  0.0000  0.0524
B  0.2500  0.5000  0.1628
B  0.7500  0.0000  0.9476
B  0.7500  0.5000  0.8372
C  0.2500  0.0000  0.3907
C  0.2500  0.0000  0.6838
C  0.2500  0.5000  0.4632
C  0.2500  0.5000  0.7553
C  0.7500  0.0000  0.3162
C  0.7500  0.0000  0.6093
C  0.7500  0.5000  0.2447
C  0.7500  0.5000  0.5368

=====

Entry 9:
The following is a PBE calculation of a geometry-optimized PbI structure, from Alexandria.

Properties
- SG: P6_3/mmc
- ΔE_f (raw): 0.069 eV/atom

a b c (Å): 5.7857 5.7857 6.8636
angles (deg): 90.00 90.00 120.00
Atoms (fractional coordinates):
Pb  0.3333  0.6667  0.2500
Pb  0.6667  0.3333  0.7500
I  0.3333  0.6667  0.7500
I  0.6667  0.3333  0.2500

=====

Entry 10:
The following is a PBE calculation of a geometry-optimized UAu6 structure, from Alexandria.

Properties
- SG: P4/mmm
- Formation energy from the elements: -3 meV/atom

a b c (Å): 4.8091 4.8091 6.5234
angles (deg): 90.00 90.00 90.00
Atoms (fractional coordinates):
U  0.0000  0.0000  0.0000
Au  0.0000  0.0000  0.5000
Au  0.0000  0.5000  0.2748
Au  0.0000  0.5000  0.7252
Au  0.5000  0.0000  0.2748
Au  0.5000  0.0000  0.7252
Au  0.5000  0.5000  0.0000

=====

Entry 11:
The following is a PBE calculation of a geometry-optimized AlZn2Co structure, from Alexandria.

Properties
- SG: F-43m
- Formation energy from the elements: -72 meV/atom

a b c (Å): 4.2031 4.2031 4.2031
angles (deg): 60.00 60.00 60.00
Atoms (fractional coordinates):
Al  0.0000  0.0000  0.0000
Zn  0.2500  0.2500  0.2500
Zn  0.5000  0.5000  0.5000
Co  0.7500  0.7500  0.7500

=====

Entry 12:
The following is a PBE calculation of a geometry-optimized MgMnSb2I structure, from Alexandria.

Properties
- SG: P4/mmm
- ΔE_f (raw): 0.347 eV/atom

a b c (Å): 4.8634 4.8634 5.9279
angles (deg): 90.00 90.00 90.00
Atoms (fractional coordinates):
Mg  0.0000  0.0000  0.0000
Mn  0.5000  0.5000  0.5000
Sb  0.0000  0.5000  0.5000
Sb  0.5000  0.0000  0.5000
I  0.5000  0.5000  0.0000

=====

Entry 13:
The following is a PBE calculation of a geometry-optimized Sr2BeRe structure, from Alexandria.

Properties
- SG: R-3m
- Formation energy from the elements: 1348 meV/atom

a b c (Å): 10.1228 10.1228 10.1228
angles (deg): 19.41 19.41 19.41
Atoms (fractional coordinates):
Sr  0.2488  0.2488  0.2488
Sr  0.7512  0.7512  0.7512
Be  0.0000  0.0000  0.0000
Re  0.5000  0.5000  0.5000

=====

Entry 14:
The following is a PBE calculation of a geometry-optimized SrPuHg structure, from Alexandria.

Properties
- SG: C2/m
- Formation energy from the elements: 101 meV/atom

a b c (Å): 5.5914 5.5914 9.6548
angles (deg): 104.68 104.68 37.13
Atoms (fractional coordinates):
Sr  0.1664  0.1664  0.1394
Sr  0.8336  0.8336  0.8606
Pu  0.3216  0.3216  0.5166
Pu  0.6784  0.6784  0.4834
Hg  0.0707  0.0707  0.7065
Hg  0.9293  0.9293  0.2935

=====

Entry 15:
The following is a PBE calculation of a geometry-optimized BaIn4Au4 structure, from Alexandria.

Properties
- SG: P4_2/nmc
- Formation energy from the elements: -417 meV/atom

a b c (Å): 6.9857 6.9857 9.3994
angles (deg): 90.00 90.00 90.00
Atoms (fractional coordinates):
Ba  0.2500  0.7500  0.2500
Ba  0.7500  0.2500  0.7500
In  0.0117  0.2500  0.1247
In  0.2500  0.0117  0.6247
In  0.2500  0.4883  0.6247
In  0.4883  0.2500  0.1247
In  0.5117  0.7500  0.8753
In  0.7500  0.5117  0.3753
In  0.7500  0.9883  0.3753
In  0.9883  0.7500  0.8753
Au  0.0478  0.2500  0.4222
Au  0.2500  0.0478  0.9222
Au  0.2500  0.4522  0.9222
Au  0.4522  0.2500  0.4222
Au  0.5478  0.7500  0.5778
Au  0.7500  0.5478  0.0778
Au  0.7500  0.9522  0.0778
Au  0.9522  0.7500  0.5778

=====

Entry 16:
The following is a PBE calculation of a geometry-optimized SrTi3Ru structure, from Alexandria.

Properties
- SG: Pm-3m
- Formation energy from the elements: 2082 meV/atom

a b c (Å): 4.6095 4.6095 4.6095
angles (deg): 90.00 90.00 90.00
Atoms (fractional coordinates):
Sr  0.0000  0.0000  0.0000
Ti  0.0000  0.0000  0.5000
Ti  0.0000  0.5000  0.0000
Ti  0.5000  0.0000  0.0000
Ru  0.5000  0.5000  0.5000

=====

Entry 17:
The following is a PBE calculation of a geometry-optimized BePdSe structure, from Alexandria.

Properties
- SG: P1
- ΔE_f (raw): -0.347 eV/atom

a b c (Å): 3.6700 4.2764 7.5112
angles (deg): 86.47 83.23 69.73
Atoms (fractional coordinates):
Be  0.0000  0.0000  0.0000
Be  0.2227  0.3616  0.7209
Pd  0.5629  0.5456  0.9080
Pd  0.9510  0.9694  0.6986
Se  0.4190  0.1212  0.1410
Se  0.6475  0.5543  0.5530